[1]
! Y8TlCu2, relaxed, DFT PBE-GGA; values from VASP
&SYSTEM
  ibrav = 0, nat = 11, ntyp = 3
/
ATOMIC_SPECIES
Y 88.91 Y.upf
Tl 204.38 Tl.upf
Cu 63.55 Cu.upf
ATOMIC_POSITIONS angstrom
Y 0.957 1.710 3.053
Y 4.410 3.514 0.000
Y 0.957 -1.710 3.053
Y 3.176 0.000 1.014
Y 4.185 0.000 4.178
Y 6.405 1.710 2.139
Y 4.410 -3.514 0.000
Y 6.405 -1.710 2.139
Tl 0.000 0.000 0.000
Cu 3.681 2.613 2.596
Cu 3.681 -2.613 2.596
CELL_PARAMETERS angstrom
4.410 -6.802 0.000
4.410 6.802 0.000
-1.458 0.000 5.192
! ΔH_f (0 K) (eV/atom): -0.06
! Volume (A^3/atom): 28.31
! E_tot (eV per atom): -5.721
! SG: C2/m


[2]
! TiTlSeN2, relaxed, DFT PBE-GGA; values from VASP
&SYSTEM
  ibrav = 0, nat = 5, ntyp = 4
/
ATOMIC_SPECIES
Ti 47.87 Ti.upf
Tl 204.38 Tl.upf
Se 78.96 Se.upf
N 14.01 N.upf
ATOMIC_POSITIONS angstrom
Ti 0.000 0.000 0.000
Tl 1.987 1.987 2.759
Se 0.000 0.000 2.759
N 0.000 1.987 0.000
N 1.987 0.000 0.000
CELL_PARAMETERS angstrom
3.974 0.000 0.000
0.000 3.974 0.000
0.000 0.000 5.519
! Raw formation energy (eV per atom): 0.185
! Volume (A^3/atom): 17.43
! Polymorph energy (0 for the lowest one) (kJ/mol of formula units): 0
! E_tot (eV per atom): -5.894
! SG: P4/mmm


[3]
! Zr3Ti4Ge4, relaxed, DFT PBE-GGA; values from VASP
&SYSTEM
  ibrav = 0, nat = 11, ntyp = 3
/
ATOMIC_SPECIES
Zr 91.22 Zr.upf
Ti 47.87 Ti.upf
Ge 72.64 Ge.upf
ATOMIC_POSITIONS angstrom
Zr 3.832 0.000 0.000
Zr 0.000 3.832 0.000
Zr 0.000 0.000 3.832
Ti 2.858 2.858 -2.858
Ti 2.858 -2.858 2.858
Ti 0.973 0.973 0.973
Ti -2.858 2.858 2.858
Ge 1.473 1.473 -1.473
Ge 1.473 -1.473 1.473
Ge -1.473 1.473 1.473
Ge 2.359 2.359 2.359
CELL_PARAMETERS angstrom
-3.832 3.832 3.832
3.832 -3.832 3.832
3.832 3.832 -3.832
! ΔH_f (0 K) (eV/atom): -0.09
! Volume (A^3/atom): 20.46
! E_tot (eV per atom): -6.973
! SG: I-43m


[4]
! Sm2Pd5Pb2, relaxed, DFT PBE-GGA; values from VASP
&SYSTEM
  ibrav = 0, nat = 18, ntyp = 3
/
ATOMIC_SPECIES
Sm 150.36 Sm.upf
Pd 106.42 Pd.upf
Pb 207.20 Pb.upf
ATOMIC_POSITIONS angstrom
Sm 1.853 0.519 0.000
Sm 5.921 0.519 0.000
Sm 1.853 3.115 3.597
Sm 5.921 3.115 3.597
Pd 7.984 2.309 -1.552
Pd 7.564 -1.325 2.045
Pd -0.210 1.325 2.045
Pd 7.984 1.325 2.045
Pd -2.540 2.430 1.262
Pd 10.314 2.430 1.262
Pd 3.887 2.267 1.440
Pd 2.540 4.838 1.262
Pd -2.540 1.204 4.859
Pd 3.887 1.367 5.037
Pb 3.887 -0.266 2.629
Pb 3.887 3.900 -0.967
Pb 0.000 3.634 0.745
Pb 0.000 0.000 4.342
CELL_PARAMETERS angstrom
-7.774 3.634 3.597
7.774 -3.634 3.597
7.774 3.634 -3.597
! ΔH_f (0 K) (eV/atom): -0.49
! Volume (A^3/atom): 22.58
! E_tot (eV per atom): -5.250
! SG: Ima2


[5]
! YIn3Pt, relaxed, DFT PBE-GGA; values from VASP
&SYSTEM
  ibrav = 0, nat = 5, ntyp = 3
/
ATOMIC_SPECIES
Y 88.91 Y.upf
In 114.82 In.upf
Pt 195.08 Pt.upf
ATOMIC_POSITIONS angstrom
Y 0.000 0.000 0.000
In 0.000 2.582 2.582
In 2.582 0.000 2.582
In 2.582 2.582 0.000
Pt 2.582 2.582 2.582
CELL_PARAMETERS angstrom
5.163 0.000 0.000
0.000 5.163 0.000
0.000 0.000 5.163
! ΔH_f (0 K) (eV/atom): -0.13
! Volume (A^3/atom): 27.53
! Polymorph energy (0 for the lowest one) (kJ/mol of formula units): 0
! E_tot (eV per atom): -4.277
! SG: Pm-3m


[6]
! Hf2TiS, relaxed, DFT PBE-GGA; values from VASP
&SYSTEM
  ibrav = 0, nat = 4, ntyp = 3
/
ATOMIC_SPECIES
Hf 178.49 Hf.upf
Ti 47.87 Ti.upf
S 32.06 S.upf
ATOMIC_POSITIONS angstrom
Hf 0.000 0.000 2.670
Hf 0.000 0.000 24.080
Ti 0.000 0.000 0.000
S 0.000 0.000 13.375
CELL_PARAMETERS angstrom
1.609 0.929 8.917
-1.609 0.929 8.917
0.000 -1.858 8.917
! Raw formation energy (eV per atom): -0.185
! Volume (A^3/atom): 19.98
! E_tot (eV per atom): -8.168
! SG: R-3m


[7]
! PuZrNpPt, relaxed, DFT PBE-GGA; values from VASP
&SYSTEM
  ibrav = 0, nat = 4, ntyp = 4
/
ATOMIC_SPECIES
Pu 244.00 Pu.upf
Zr 91.22 Zr.upf
Np 237.00 Np.upf
Pt 195.08 Pt.upf
ATOMIC_POSITIONS angstrom
Pu 0.000 0.000 0.000
Zr 3.450 3.450 3.450
Np 5.174 5.174 5.174
Pt 1.725 1.725 1.725
CELL_PARAMETERS angstrom
0.000 3.450 3.450
3.450 0.000 3.450
3.450 3.450 0.000
! ΔH_f (0 K) (eV/atom): -0.15
! Volume (A^3/atom): 20.52
! E_tot (eV per atom): -10.613
! SG: F-43m


[8]
! LiYIn2, relaxed, DFT PBE-GGA; values from VASP
&SYSTEM
  ibrav = 0, nat = 4, ntyp = 3
/
ATOMIC_SPECIES
Li 6.94 Li.upf
Y 88.91 Y.upf
In 114.82 In.upf
ATOMIC_POSITIONS angstrom
Li 0.000 0.000 0.000
Y 2.396 2.396 0.000
In 0.000 2.396 2.085
In 2.396 0.000 2.085
CELL_PARAMETERS angstrom
4.792 0.000 0.000
0.000 4.792 0.000
0.000 0.000 4.170
! ΔH_f (0 K) (eV/atom): -0.41
! Volume (A^3/atom): 23.94
! E_tot (eV per atom): -3.871
! SG: P4/mmm


[9]
! LaTiIr3, relaxed, DFT PBE-GGA; values from VASP
&SYSTEM
  ibrav = 0, nat = 5, ntyp = 3
/
ATOMIC_SPECIES
La 138.91 La.upf
Ti 47.87 Ti.upf
Ir 192.22 Ir.upf
ATOMIC_POSITIONS angstrom
La 0.000 0.000 0.000
Ti 2.345 2.345 2.345
Ir 0.000 2.345 2.345
Ir 2.345 0.000 2.345
Ir 2.345 2.345 0.000
CELL_PARAMETERS angstrom
4.691 0.000 0.000
0.000 4.691 0.000
0.000 0.000 4.691
! ΔH_f (0 K) (eV/atom): 0.01
! Volume (A^3/atom): 20.64
! Polymorph energy (0 for the lowest one) (kJ/mol of formula units): 0
! E_tot (eV per atom): -7.875
! SG: Pm-3m


[10]
! LiHBrCl, relaxed, DFT PBE-GGA; values from VASP
&SYSTEM
  ibrav = 0, nat = 4, ntyp = 4
/
ATOMIC_SPECIES
Li 6.94 Li.upf
H 1.01 H.upf
Br 79.90 Br.upf
Cl 35.45 Cl.upf
ATOMIC_POSITIONS angstrom
Li 0.000 0.000 0.000
H 0.188 2.739 2.944
Br -0.512 2.092 1.332
Cl 1.007 -0.802 4.180
CELL_PARAMETERS angstrom
4.171 0.000 0.000
-0.494 4.205 0.000
-1.029 -1.089 5.505
! Volume (A^3/atom): 24.14
! Polymorph energy (0 for the lowest one) (kJ/mol of formula units): 10
! E_tot (eV per atom): -3.186
! SG: P1


[11]
! Pr3Mg2Ag4, relaxed, DFT PBE-GGA; values from VASP
&SYSTEM
  ibrav = 0, nat = 9, ntyp = 3
/
ATOMIC_SPECIES
Pr 140.91 Pr.upf
Mg 24.30 Mg.upf
Ag 107.87 Ag.upf
ATOMIC_POSITIONS angstrom
Pr 0.000 0.000 0.000
Pr 3.241 0.000 5.623
Pr 6.176 0.000 3.680
Mg 3.115 0.000 2.059
Mg 6.302 0.000 7.243
Ag 0.162 0.000 6.019
Ag 2.234 0.000 8.537
Ag 7.183 0.000 0.765
Ag 9.255 0.000 3.283
CELL_PARAMETERS angstrom
5.107 -2.402 0.000
5.107 2.402 0.000
-0.798 0.000 9.302
! ΔH_f (0 K) (eV/atom): -0.23
! Volume (A^3/atom): 25.36
! Polymorph energy (0 for the lowest one) (kJ/mol of formula units): 10
! E_tot (eV per atom): -3.442
! SG: C2/m


[12]
! CdHg2Ge, relaxed, DFT PBE-GGA; values from VASP
&SYSTEM
  ibrav = 0, nat = 4, ntyp = 3
/
ATOMIC_SPECIES
Cd 112.41 Cd.upf
Hg 200.59 Hg.upf
Ge 72.64 Ge.upf
ATOMIC_POSITIONS angstrom
Cd 0.000 0.000 0.000
Hg 1.790 1.790 1.790
Hg 5.371 5.371 5.371
Ge 3.580 3.580 3.580
CELL_PARAMETERS angstrom
0.000 3.580 3.580
3.580 0.000 3.580
3.580 3.580 0.000
! ΔH_f (0 K) (eV/atom): 0.22
! Volume (A^3/atom): 22.95
! Polymorph energy (0 for the lowest one) (kJ/mol of formula units): 25
! E_tot (eV per atom): -1.316
! SG: Fm-3m


[13]
! Zn2AsP, relaxed, DFT PBE-GGA; values from VASP
&SYSTEM
  ibrav = 0, nat = 4, ntyp = 3
/
ATOMIC_SPECIES
Zn 65.41 Zn.upf
As 74.92 As.upf
P 30.97 P.upf
ATOMIC_POSITIONS angstrom
Zn 1.611 1.611 1.611
Zn 4.833 4.833 4.833
As 0.000 0.000 0.000
P 3.222 3.222 3.222
CELL_PARAMETERS angstrom
0.000 3.222 3.222
3.222 0.000 3.222
3.222 3.222 0.000
! ΔH_f (0 K) (eV/atom): 0.37
! Volume (A^3/atom): 16.73
! Polymorph energy (0 for the lowest one) (kJ/mol of formula units): 122
! E_tot (eV per atom): -2.781
! SG: Fm-3m


[14]
! LaTb2Ho3, relaxed, DFT PBE-GGA; values from VASP
&SYSTEM
  ibrav = 0, nat = 12, ntyp = 3
/
ATOMIC_SPECIES
La 138.91 La.upf
Tb 158.93 Tb.upf
Ho 164.93 Ho.upf
ATOMIC_POSITIONS angstrom
La 1.798 5.206 8.702
La 1.798 -5.206 2.901
Tb 0.000 0.000 0.000
Tb 0.000 0.000 5.801
Tb 1.798 0.996 2.901
Tb 1.798 -0.996 8.702
Ho 1.798 7.280 2.901
Ho 1.798 3.079 5.849
Ho 1.798 3.079 11.555
Ho 1.798 -3.079 0.048
Ho 1.798 -3.079 5.754
Ho 1.798 -7.280 8.702
CELL_PARAMETERS angstrom
1.798 -9.312 0.000
1.798 9.312 0.000
0.000 0.000 11.603
! ΔH_f (0 K) (eV/atom): 0.01
! Volume (A^3/atom): 32.37
! Polymorph energy (0 for the lowest one) (kJ/mol of formula units): 0
! E_tot (eV per atom): -4.639
! SG: Cmcm